Entry 1:
DFT (GGA-PBE) results for crystalline LiDyCu10 at its relaxed geometry.

abc: 4.091 4.945 8.565
angles: 90.00 90.00 90.00
Atoms (fractional coordinates):
1 Li 0.000 0.000 0.000
2 Dy 0.000 0.500 0.500
3 Cu 0.000 0.000 0.319
4 Cu 0.000 0.000 0.681
5 Cu 0.000 0.500 0.158
6 Cu 0.000 0.500 0.842
7 Cu 0.500 0.000 0.500
8 Cu 0.500 0.253 0.250
9 Cu 0.500 0.253 0.750
10 Cu 0.500 0.500 0.000
11 Cu 0.500 0.747 0.250
12 Cu 0.500 0.747 0.750

Results
SG: Pmmm (47)
Formation energy, eV per atom: -0.085
Final energy, eV/atom: -4.042
Total magnetization, μB per atom: 0.00
Mass density, g cm⁻³: 7.7

Entry 2:
DFT (GGA-PBE) results for crystalline Ce2YSb at its relaxed geometry.

abc: 4.400 4.339 11.657
angles: 90.00 100.64 90.00
Atoms (fractional coordinates):
1 Ce 0.007 0.250 0.120
2 Ce 0.404 0.250 0.886
3 Ce 0.596 0.750 0.114
4 Ce 0.993 0.750 0.880
5 Y 0.304 0.750 0.610
6 Y 0.696 0.250 0.390
7 Sb 0.175 0.750 0.337
8 Sb 0.825 0.250 0.663

Results
SG: P2_1/m (11)
Final energy, eV/atom: -6.210
Raw formation energy, eV per atom: -0.597
Total magnetization, μB per atom: 0.00
ΔE to the lowest computed polymorph, eV/atom: 0.000
Mass density, g cm⁻³: 7.5

Entry 3:
DFT (GGA-PBE) results for crystalline Ce2ZnGa6 at its relaxed geometry.

abc: 4.645 4.645 8.690
angles: 90.00 90.00 90.00
Atoms (fractional coordinates):
1 Ce 0.000 0.000 0.249
2 Ce 0.000 0.000 0.751
3 Zn 0.500 0.500 0.500
4 Ga 0.000 0.500 0.000
5 Ga 0.000 0.500 0.500
6 Ga 0.500 0.000 0.000
7 Ga 0.500 0.000 0.500
8 Ga 0.500 0.500 0.196
9 Ga 0.500 0.500 0.804

Results
SG: P4/mmm (123)
Formation energy, eV per atom: -0.280
Final energy, eV/atom: -3.758
Total magnetization, μB per atom: 0.20
Mass density, g cm⁻³: 6.8

Entry 4:
DFT (GGA-PBE) results for crystalline Zr2HgPb at its relaxed geometry.

abc: 3.799 4.021 6.206
angles: 90.00 90.00 90.00
Atoms (fractional coordinates):
1 Zr 0.000 0.000 0.000
2 Zr 0.500 0.500 0.252
3 Hg 0.000 0.000 0.488
4 Pb 0.500 0.500 0.757

Results
SG: Pmm2 (25)
Formation energy, eV per atom: -0.050
Final energy, eV/atom: -5.327
Total magnetization, μB per atom: 0.00
ΔE to the lowest computed polymorph, eV/atom: 0.125
Mass density, g cm⁻³: 10.3

Entry 5:
DFT (GGA-PBE) results for crystalline TmPuTh at its relaxed geometry.

abc: 7.564 7.564 7.564
angles: 153.07 153.07 38.45
Atoms (fractional coordinates):
1 Tm 0.000 0.000 0.000
2 Pu 0.329 0.329 0.000
3 Th 0.672 0.672 0.000

Results
SG: I4mm (107)
Formation energy, eV per atom: 0.107
Final energy, eV/atom: -8.634
Total magnetization, μB per atom: 1.85
ΔE to the lowest computed polymorph, eV/atom: 0.000
Mass density, g cm⁻³: 12.1

Entry 6:
DFT (GGA-PBE) results for crystalline Dy6Y2Sc at its relaxed geometry.

abc: 9.298 9.298 8.609
angles: 90.07 90.07 21.85
Atoms (fractional coordinates):
1 Dy 0.111 0.111 0.169
2 Dy 0.223 0.223 0.832
3 Dy 0.336 0.336 0.500
4 Dy 0.664 0.664 0.500
5 Dy 0.777 0.777 0.168
6 Dy 0.889 0.889 0.831
7 Y 0.446 0.446 0.172
8 Y 0.554 0.554 0.828
9 Sc 0.000 0.000 0.500

Results
SG: C2/m (12)
Formation energy, eV per atom: 0.031
Final energy, eV/atom: -5.177
Total magnetization, μB per atom: 0.00
ΔE to the lowest computed polymorph, eV/atom: 0.000
Mass density, g cm⁻³: 7.2

Entry 7:
DFT (GGA-PBE) results for crystalline Ce6Al3Ga at its relaxed geometry.

abc: 8.019 7.315 10.986
angles: 90.00 129.72 90.00
Atoms (fractional coordinates):
1 Ce 0.039 0.162 0.338
2 Ce 0.039 0.338 0.838
3 Ce 0.281 0.164 0.666
4 Ce 0.281 0.336 0.166
5 Ce 0.399 0.611 0.858
6 Ce 0.399 0.889 0.358
7 Ce 0.601 0.111 0.642
8 Ce 0.601 0.389 0.142
9 Ce 0.719 0.664 0.834
10 Ce 0.719 0.836 0.334
11 Ce 0.961 0.662 0.162
12 Ce 0.961 0.838 0.662
13 Al 0.236 0.722 0.032
14 Al 0.236 0.778 0.532
15 Al 0.500 0.000 0.000
16 Al 0.500 0.500 0.500
17 Al 0.764 0.222 0.468
18 Al 0.764 0.278 0.968
19 Ga 0.000 0.000 0.000
20 Ga 0.000 0.500 0.500

Results
SG: P2_1/c (14)
Formation energy, eV per atom: -0.116
Final energy, eV/atom: -5.101
Total magnetization, μB per atom: 0.34
Mass density, g cm⁻³: 6.6

Entry 8:
DFT (GGA-PBE) results for crystalline YTaBe2 at its relaxed geometry.

abc: 5.881 5.881 5.881
angles: 37.65 37.65 37.65
Atoms (fractional coordinates):
1 Y 0.000 0.000 0.000
2 Ta 0.805 0.805 0.805
3 Be 0.208 0.208 0.208
4 Be 0.546 0.546 0.546

Results
SG: R3m (160)
Formation energy, eV per atom: 0.161
Final energy, eV/atom: -6.281
Total magnetization, μB per atom: 0.00
ΔE to the lowest computed polymorph, eV/atom: 0.055
Mass density, g cm⁻³: 7.0

Entry 9:
DFT (GGA-PBE) results for crystalline TbGdSi2 at its relaxed geometry.

abc: 5.728 5.728 5.728
angles: 47.67 47.67 47.67
Atoms (fractional coordinates):
1 Tb 0.000 0.000 0.000
2 Gd 0.500 0.500 0.500
3 Si 0.250 0.250 0.250
4 Si 0.750 0.750 0.750

Results
SG: R-3m (166)
Final energy, eV/atom: -7.893
Raw formation energy, eV per atom: -0.503
Total magnetization, μB per atom: 1.77
Mass density, g cm⁻³: 6.6

Entry 10:
DFT (GGA-PBE) results for crystalline InNi2C at its relaxed geometry.

abc: 6.502 6.502 6.502
angles: 138.37 138.37 60.33
Atoms (fractional coordinates):
1 In 0.000 0.000 0.000
2 In 0.750 0.250 0.500
3 Ni 0.312 0.625 0.187
4 Ni 0.375 0.562 0.687
5 Ni 0.438 0.125 0.813
6 Ni 0.875 0.688 0.313
7 C 0.250 0.750 0.500
8 C 0.500 0.500 0.000

Results
SG: I-42d (122)
Formation energy, eV per atom: 0.428
Final energy, eV/atom: -5.453
Total magnetization, μB per atom: 0.00
ΔE to the lowest computed polymorph, eV/atom: 0.000
Mass density, g cm⁻³: 6.8

Entry 11:
DFT (GGA-PBE) results for crystalline YZrIn at its relaxed geometry.

abc: 7.004 7.004 7.004
angles: 151.72 151.72 40.42
Atoms (fractional coordinates):
1 Y 0.000 0.000 0.000
2 Zr 0.325 0.325 0.000
3 In 0.672 0.672 0.000

Results
SG: I4mm (107)
Formation energy, eV per atom: -0.232
Final energy, eV/atom: -6.148
Total magnetization, μB per atom: 0.00
ΔE to the lowest computed polymorph, eV/atom: 0.000
Mass density, g cm⁻³: 6.4

Entry 12:
DFT (GGA-PBE) results for crystalline DyMg4Zr at its relaxed geometry.

abc: 5.886 5.886 5.886
angles: 60.00 60.00 60.00
Atoms (fractional coordinates):
1 Dy 0.000 0.000 0.000
2 Mg 0.376 0.376 0.376
3 Mg 0.376 0.376 0.873
4 Mg 0.376 0.873 0.376
5 Mg 0.873 0.376 0.376
6 Zr 0.750 0.750 0.750

Results
SG: F-43m (216)
Formation energy, eV per atom: 0.055
Final energy, eV/atom: -3.200
Total magnetization, μB per atom: 0.40
Mass density, g cm⁻³: 4.0

Density of states at the Fermi level list, top to bottom, in states/eV/atom: 0.49; 1.85; 1.32; 0.87; 2.34; 1.45; 2.51; 0.68; 0.54; 0.36; 0.53; 1.22